# 1
## POsW2 (PBEsol)

Data for a relaxed structure of POsW2. Values from VASP.

Output
**Space group**: Pmmm, No. 47
**Calculated density**: 17.1 g/cm3
**DFT formation energy**: 0.245 eV per atom

The structure in Quantum ESPRESSO input format:
```
&SYSTEM
  ibrav = 0, nat = 4, ntyp = 3
/
ATOMIC_SPECIES
Os 190.23 Os.upf
P 30.97 P.upf
W 183.84 W.upf
ATOMIC_POSITIONS angstrom
Os 0.253 -2.243 -1.383
P -1.409 -2.654 0.644
W 0.000 0.000 0.000
W -2.383 -0.739 -0.903
CELL_PARAMETERS angstrom
-0.721 -0.328 -2.930
1.228 -4.158 0.164
-4.045 -1.150 1.124
```



# 2
## YInBr2 (PBEsol)

Data for a relaxed structure of YInBr2. Values from VASP.

Output
**Space group**: Fm-3m, No. 225
**Formation energy (no corrections)**: -273 kJ/mol of formula units
**Distance to the lowest polymorph of the same formula**: 3.34 kcal/mol of atoms
**Calculated density**: 6.1 g/cm3

The structure in Quantum ESPRESSO input format:
```
&SYSTEM
  ibrav = 0, nat = 4, ntyp = 3
/
ATOMIC_SPECIES
Y 88.91 Y.upf
Br 79.90 Br.upf
In 114.82 In.upf
ATOMIC_POSITIONS angstrom
Y 0.000 0.000 0.000
Br 2.598 1.500 1.061
Br 7.794 4.500 3.182
In 5.196 3.000 2.121
CELL_PARAMETERS angstrom
5.196 0.000 0.000
2.598 4.500 0.000
2.598 1.500 4.242
```



# 3
## Hf2CS (PBEsol)

Data for a relaxed structure of Hf2CS. Values from VASP.

Output
**Space group**: P6_3/mmc, No. 194
**Formation energy (no corrections)**: -562 kJ/mol of formula units
**Distance to the lowest polymorph of the same formula**: 0.00 kcal/mol of atoms
**Calculated density**: 11.5 g/cm3

The structure in Quantum ESPRESSO input format:
```
&SYSTEM
  ibrav = 0, nat = 8, ntyp = 3
/
ATOMIC_SPECIES
S 32.06 S.upf
Hf 178.49 Hf.upf
C 12.01 C.upf
ATOMIC_POSITIONS angstrom
S 1.671 0.965 2.986
S 0.000 1.929 8.959
Hf 0.000 1.929 1.200
Hf 1.671 0.965 7.172
Hf 1.671 0.965 10.745
Hf 0.000 1.929 4.772
C 0.000 0.000 0.000
C 0.000 0.000 5.972
CELL_PARAMETERS angstrom
3.341 0.000 0.000
-1.671 2.894 0.000
0.000 0.000 11.945
```



For the records above, the corresponding V values read 57.3 99.2 115.5 Å³/cell.